Entry 1:
This record from the Alexandria database describes a relaxed structure of Tl2AsAu. The functional is PBE.

Lattice parameters (Å, degrees): 7.690 7.667 3.325 90.00 91.45 90.00
Positions (direct):
Tl: 0.250 0.250 0.000
Tl: 0.250 0.750 0.000
Tl: 0.750 0.250 0.000
Tl: 0.750 0.750 0.000
As: 0.000 0.000 0.500
As: 0.500 0.500 0.500
Au: 0.000 0.500 0.500
Au: 0.500 0.000 0.500

Results
Excess energy over the best structure of this formula in the dataset, meV/atom: 242.0

---

Entry 2:
This record from the Alexandria database describes a relaxed structure of TlAsAu. The functional is PBE.

Lattice parameters (Å, degrees): 3.612 3.612 11.950 90.00 90.00 90.00
Positions (direct):
Tl: 0.000 0.000 0.000
Tl: 0.500 0.500 0.500
As: 0.000 0.000 0.282
As: 0.500 0.500 0.782
Au: 0.000 0.000 0.724
Au: 0.500 0.500 0.224

Results
Excess energy over the best structure of this formula in the dataset, meV/atom: 191.1

---

Entry 3:
This record from the Alexandria database describes a relaxed structure of Tl5As3Au3. The functional is PBE.

Lattice parameters (Å, degrees): 9.531 9.531 4.568 90.00 90.00 120.00
Positions (direct):
Tl: 0.000 0.749 0.000
Tl: 0.251 0.251 0.000
Tl: 0.333 0.667 0.000
Tl: 0.667 0.333 0.000
Tl: 0.749 0.000 0.000
As: 0.000 0.398 0.000
As: 0.398 0.000 0.000
As: 0.602 0.602 0.000
Au: 0.000 0.504 0.500
Au: 0.496 0.496 0.500
Au: 0.504 0.000 0.500

---

Entry 4:
This record from the Alexandria database describes a relaxed structure of Tl2AsAu4. The functional is PBE.

Lattice parameters (Å, degrees): 5.972 6.544 8.800 90.00 108.11 90.00
Positions (direct):
Tl: 0.143 0.250 0.377
Tl: 0.260 0.750 0.022
Tl: 0.740 0.250 0.978
Tl: 0.857 0.750 0.623
As: 0.134 0.250 0.769
As: 0.866 0.750 0.231
Au: 0.283 0.250 0.074
Au: 0.310 0.750 0.388
Au: 0.357 0.535 0.683
Au: 0.357 0.965 0.683
Au: 0.643 0.035 0.317
Au: 0.643 0.465 0.317
Au: 0.690 0.250 0.612
Au: 0.717 0.750 0.926

---

Entry 5:
This record from the Alexandria database describes a relaxed structure of Tl3AsAu4. The functional is PBE.

Lattice parameters (Å, degrees): 4.736 6.700 7.013 89.72 71.69 74.53
Positions (direct):
Tl: 0.000 0.000 0.000
Tl: 0.160 0.415 0.125
Tl: 0.813 0.832 0.591
As: 0.297 0.291 0.598
Au: 0.410 0.003 0.329
Au: 0.472 0.578 0.400
Au: 0.596 0.704 0.007
Au: 0.711 0.362 0.734

---

Entry 6:
This record from the Alexandria database describes a relaxed structure of TlAs2Au. The functional is PBE.

Lattice parameters (Å, degrees): 4.725 4.725 7.782 90.00 90.00 90.00
Positions (direct):
Tl: 0.000 0.000 0.000
Tl: 0.500 0.500 0.500
As: 0.000 0.000 0.500
As: 0.000 0.500 0.750
As: 0.500 0.000 0.250
As: 0.500 0.500 0.000
Au: 0.000 0.500 0.250
Au: 0.500 0.000 0.750

Results
Excess energy over the best structure of this formula in the dataset, meV/atom: 441.8

---

Entry 7:
This record from the Alexandria database describes a relaxed structure of Tl3AsAu3. The functional is PBE.

Lattice parameters (Å, degrees): 7.680 7.680 7.772 96.04 96.04 125.66
Positions (direct):
Tl: 0.208 0.792 0.000
Tl: 0.261 0.739 0.500
Tl: 0.303 0.303 0.081
Tl: 0.697 0.697 0.919
Tl: 0.739 0.261 0.500
Tl: 0.792 0.208 0.000
As: 0.338 0.338 0.556
As: 0.662 0.662 0.444
Au: 0.033 0.033 0.309
Au: 0.142 0.427 0.768
Au: 0.427 0.142 0.768
Au: 0.573 0.858 0.232
Au: 0.858 0.573 0.232
Au: 0.967 0.967 0.691

---

Entry 8:
This record from the Alexandria database describes a relaxed structure of TlAs2Au. The functional is PBE.

Lattice parameters (Å, degrees): 7.004 7.004 7.004 90.00 90.00 90.00
Positions (direct):
Tl: 0.000 0.000 0.000
Tl: 0.000 0.500 0.500
Tl: 0.500 0.000 0.500
Tl: 0.500 0.500 0.000
As: 0.250 0.250 0.250
As: 0.250 0.250 0.750
As: 0.250 0.750 0.250
As: 0.250 0.750 0.750
As: 0.750 0.250 0.250
As: 0.750 0.250 0.750
As: 0.750 0.750 0.250
As: 0.750 0.750 0.750
Au: 0.000 0.000 0.500
Au: 0.000 0.500 0.000
Au: 0.500 0.000 0.000
Au: 0.500 0.500 0.500

Results
Excess energy over the best structure of this formula in the dataset, meV/atom: 539.6

---

Entry 9:
This record from the Alexandria database describes a relaxed structure of TlAs2Au. The functional is PBE.

Lattice parameters (Å, degrees): 4.323 5.454 7.904 90.00 90.00 90.00
Positions (direct):
Tl: 0.000 0.000 0.000
Tl: 0.500 0.500 0.000
As: 0.000 0.500 0.308
As: 0.000 0.500 0.692
As: 0.500 0.000 0.308
As: 0.500 0.000 0.692
Au: 0.000 0.000 0.500
Au: 0.500 0.500 0.500

Results
Excess energy over the best structure of this formula in the dataset, meV/atom: 319.5

---

Entry 10:
This record from the Alexandria database describes a relaxed structure of Tl5AsAu. The functional is PBE.

Lattice parameters (Å, degrees): 7.264 4.375 13.328 90.00 93.54 90.00
Positions (direct):
Tl: 0.033 0.250 0.177
Tl: 0.179 0.750 0.561
Tl: 0.280 0.750 0.013
Tl: 0.344 0.250 0.758
Tl: 0.352 0.250 0.381
Tl: 0.648 0.750 0.619
Tl: 0.656 0.750 0.242
Tl: 0.720 0.250 0.987
Tl: 0.821 0.250 0.439
Tl: 0.967 0.750 0.823
As: 0.440 0.250 0.150
As: 0.560 0.750 0.850
Au: 0.042 0.750 0.341
Au: 0.958 0.250 0.659

---

Entry 11:
This record from the Alexandria database describes a relaxed structure of TlAs2Au. The functional is PBE.

Lattice parameters (Å, degrees): 3.856 3.856 22.057 90.00 90.00 120.00
Positions (direct):
Tl: 0.000 0.000 0.000
Tl: 0.333 0.667 0.667
Tl: 0.667 0.333 0.333
As: 0.000 0.000 0.230
As: 0.000 0.000 0.501
As: 0.333 0.667 0.167
As: 0.333 0.667 0.897
As: 0.667 0.333 0.563
As: 0.667 0.333 0.834
Au: 0.000 0.000 0.754
Au: 0.333 0.667 0.420
Au: 0.667 0.333 0.087

Results
Excess energy over the best structure of this formula in the dataset, meV/atom: 146.5

---

Entry 12:
This record from the Alexandria database describes a relaxed structure of Tl2AsAu. The functional is PBE.

Lattice parameters (Å, degrees): 4.332 4.332 19.652 90.00 90.00 120.00
Positions (direct):
Tl: 0.000 0.000 0.000
Tl: 0.000 0.000 0.174
Tl: 0.333 0.667 0.667
Tl: 0.333 0.667 0.841
Tl: 0.667 0.333 0.333
Tl: 0.667 0.333 0.508
As: 0.000 0.000 0.581
As: 0.333 0.667 0.247
As: 0.667 0.333 0.914
Au: 0.000 0.000 0.421
Au: 0.333 0.667 0.088
Au: 0.667 0.333 0.755

Results
Excess energy over the best structure of this formula in the dataset, meV/atom: 220.9

---

Entry 13:
This record from the Alexandria database describes a relaxed structure of Tl6AsAu. The functional is PBE.

Lattice parameters (Å, degrees): 4.324 7.340 8.957 113.63 103.85 90.69
Positions (direct):
Tl: 0.101 0.259 0.195
Tl: 0.253 0.733 0.502
Tl: 0.392 0.234 0.794
Tl: 0.608 0.766 0.206
Tl: 0.747 0.267 0.498
Tl: 0.899 0.741 0.805
As: 0.000 0.500 0.000
Au: 0.500 0.000 0.000

---

Entry 14:
This record from the Alexandria database describes a relaxed structure of Tl2AsAu. The functional is PBE.

Lattice parameters (Å, degrees): 3.516 3.810 7.983 90.00 90.00 90.00
Positions (direct):
Tl: 0.000 0.000 0.000
Tl: 0.500 0.500 0.326
As: 0.000 0.000 0.618
Au: 0.500 0.500 0.713

Results
Excess energy over the best structure of this formula in the dataset, meV/atom: 137.2

---

Entry 15:
This record from the Alexandria database describes a relaxed structure of TlAs2Au. The functional is PBE.

Lattice parameters (Å, degrees): 4.008 4.008 11.299 90.00 90.00 90.00
Positions (direct):
Tl: 0.000 0.000 0.000
Tl: 0.500 0.500 0.500
As: 0.000 0.500 0.250
As: 0.000 0.500 0.750
As: 0.500 0.000 0.250
As: 0.500 0.000 0.750
Au: 0.000 0.000 0.500
Au: 0.500 0.500 0.000

Results
Excess energy over the best structure of this formula in the dataset, meV/atom: 426.2

---

Entry 16:
This record from the Alexandria database describes a relaxed structure of TlAs2Au. The functional is PBE.

Lattice parameters (Å, degrees): 3.077 3.077 9.551 90.00 90.00 90.00
Positions (direct):
Tl: 0.000 0.000 0.000
As: 0.500 0.500 0.298
As: 0.500 0.500 0.702
Au: 0.000 0.000 0.500

Results
Excess energy over the best structure of this formula in the dataset, meV/atom: 365.9

---

Entry 17:
This record from the Alexandria database describes a relaxed structure of Tl2AsAu. The functional is PBE.

Lattice parameters (Å, degrees): 3.399 5.330 11.330 90.00 90.00 90.00
Positions (direct):
Tl: 0.000 0.000 0.000
Tl: 0.000 0.500 0.196
Tl: 0.500 0.000 0.696
Tl: 0.500 0.500 0.500
As: 0.000 0.500 0.774
As: 0.500 0.000 0.274
Au: 0.000 0.000 0.449
Au: 0.500 0.500 0.949

Results
Excess energy over the best structure of this formula in the dataset, meV/atom: 163.7

---

Entry 18:
This record from the Alexandria database describes a relaxed structure of Tl12AsAu6. The functional is PBE.

Lattice parameters (Å, degrees): 8.431 8.431 8.431 94.27 94.27 94.27
Positions (direct):
Tl: 0.063 0.298 0.933
Tl: 0.067 0.937 0.702
Tl: 0.176 0.592 0.427
Tl: 0.298 0.933 0.063
Tl: 0.408 0.573 0.824
Tl: 0.427 0.176 0.592
Tl: 0.573 0.824 0.408
Tl: 0.592 0.427 0.176
Tl: 0.702 0.067 0.937
Tl: 0.824 0.408 0.573
Tl: 0.933 0.063 0.298
Tl: 0.937 0.702 0.067
As: 0.500 0.500 0.500
Au: 0.070 0.604 0.768
Au: 0.232 0.930 0.396
Au: 0.396 0.232 0.930
Au: 0.604 0.768 0.070
Au: 0.768 0.070 0.604
Au: 0.930 0.396 0.232

---

Entry 19:
This record from the Alexandria database describes a relaxed structure of Tl3AsAu. The functional is PBE.

Lattice parameters (Å, degrees): 5.595 5.595 5.595 90.00 90.00 90.00
Positions (direct):
Tl: 0.000 0.000 0.500
Tl: 0.000 0.500 0.000
Tl: 0.500 0.000 0.000
As: 0.000 0.000 0.000
Au: 0.500 0.500 0.500

Results
Excess energy over the best structure of this formula in the dataset, meV/atom: 361.8

---

Entry 20:
This record from the Alexandria database describes a relaxed structure of TlAs2Au. The functional is PBE.

Lattice parameters (Å, degrees): 5.327 5.327 3.047 90.00 90.00 90.00
Positions (direct):
Tl: 0.000 0.000 0.000
As: 0.000 0.500 0.500
As: 0.500 0.000 0.500
Au: 0.500 0.500 0.000

Results
Excess energy over the best structure of this formula in the dataset, meV/atom: 463.3

---

Entry 21:
This record from the Alexandria database describes a relaxed structure of TlAs2Au. The functional is PBE.

Lattice parameters (Å, degrees): 3.670 4.585 5.152 90.00 90.00 90.00
Positions (direct):
Tl: 0.000 0.000 0.000
As: 0.000 0.500 0.500
As: 0.500 0.500 0.000
Au: 0.500 0.000 0.500

Results
Excess energy over the best structure of this formula in the dataset, meV/atom: 434.2

---

Entry 22:
This record from the Alexandria database describes a relaxed structure of TlAsAu4. The functional is PBE.

Lattice parameters (Å, degrees): 5.622 5.622 5.622 60.00 60.00 60.00
Positions (direct):
Tl: 0.000 0.000 0.000
As: 0.750 0.750 0.750
Au: 0.375 0.375 0.375
Au: 0.375 0.375 0.874
Au: 0.375 0.874 0.375
Au: 0.874 0.375 0.375

---

Entry 23:
This record from the Alexandria database describes a relaxed structure of TlAs2Au. The functional is PBE.

Lattice parameters (Å, degrees): 8.004 3.720 6.781 90.00 105.12 90.00
Positions (direct):
Tl: 0.000 0.000 0.000
Tl: 0.500 0.500 0.000
As: 0.059 0.500 0.476
As: 0.197 0.000 0.711
As: 0.559 0.000 0.476
As: 0.697 0.500 0.711
Au: 0.275 0.500 0.259
Au: 0.775 0.000 0.259

Results
Excess energy over the best structure of this formula in the dataset, meV/atom: 153.5

---

Entry 24:
This record from the Alexandria database describes a relaxed structure of TlAs2Au. The functional is PBE.

Lattice parameters (Å, degrees): 5.948 10.084 2.921 90.00 90.00 90.00
Positions (direct):
Tl: 0.000 0.000 0.000
Tl: 0.500 0.500 0.000
As: 0.250 0.250 0.500
As: 0.250 0.750 0.500
As: 0.750 0.250 0.500
As: 0.750 0.750 0.500
Au: 0.000 0.500 0.000
Au: 0.500 0.000 0.000

Results
Excess energy over the best structure of this formula in the dataset, meV/atom: 439.1

---

Entry 25:
This record from the Alexandria database describes a relaxed structure of TlVAs2Au. The functional is PBE.

Lattice parameters (Å, degrees): 4.682 4.682 5.451 90.00 90.00 90.00
Positions (direct):
Tl: 0.000 0.000 0.000
V: 0.000 0.000 0.500
As: 0.000 0.500 0.500
As: 0.500 0.000 0.500
Au: 0.500 0.500 0.000

---

Entry 26:
This record from the Alexandria database describes a relaxed structure of TlZnAsAu. The functional is PBE.

Lattice parameters (Å, degrees): 3.938 3.938 12.222 90.00 90.00 90.00
Positions (direct):
Tl: 0.250 0.250 0.210
Tl: 0.750 0.750 0.790
Zn: 0.250 0.750 0.500
Zn: 0.750 0.250 0.500
As: 0.250 0.250 0.634
As: 0.750 0.750 0.366
Au: 0.250 0.750 0.000
Au: 0.750 0.250 0.000

---

Calculated values (eV per formula unit) of formation energy for the records, taken in order: 0.70 0.39 0.89 -0.06 -0.17 1.42 0.12 1.81 0.93 0.01 0.24 0.62 0.12 0.28 1.36 1.11 0.39 0.36 1.96 1.50 1.39 0.92 0.26 1.41 1.65 -0.16.
Calculated values (Å³/cell) of V for the records, taken in order: 196.0 155.9 359.4 326.9 202.9 173.7 362.4 343.7 186.4 422.7 284.1 319.3 251.0 106.9 181.5 90.4 205.2 594.0 175.1 86.5 86.7 125.7 194.9 175.2 119.5 189.6.
Calculated values (states/eV/f.u.) of density of states at the Fermi level for the records, taken in order: 1.2 0.9 3.1 2.6 2.1 2.1 2.8 3.6 1.5 2.2 1.5 1.7 2.5 1.5 2.2 2.7 2.2 8.4 1.6 1.5 2.1 1.9 0.8 1.7 2.3 1.1.